w | The following is a GGA-PBE calculation of an optimized crystal structure of ThMgSc, from the Alexandria database.

a = 5.2867 Å, b = 3.3589 Å, c = 9.8666 Å
α = 69.98°, β = 90.00°, γ = 90.00°
Positions (direct):
Th 0.4770 0.4032 0.9024
Th 0.9768 0.8810 0.4259
Mg 0.4768 0.5583 0.2467
Mg 0.9771 0.7257 0.0816
Sc 0.9770 0.0581 0.7466
Sc 0.4769 0.2260 0.5818

Values from the calculation:
The calculated volume comes out at 27.4 A^3/atom. Its space group is P2_1/m.



x | The following is a GGA-PBE calculation of an optimized crystal structure of ThMgSc, from the Alexandria database.

a = 3.3948 Å, b = 3.3948 Å, c = 8.2605 Å
α = 90.00°, β = 90.00°, γ = 120.00°
Positions (direct):
Sc 0.6667 0.3333 0.3269
Mg 0.0000 0.0000 0.0120
Th 0.3333 0.6667 0.6611

Values from the calculation:
The calculated volume comes out at 27.5 A^3/atom. Its space group is P3m1.



y | The following is a GGA-PBE calculation of an optimized crystal structure of ThMgSc, from the Alexandria database.

a = 5.2211 Å, b = 5.2211 Å, c = 6.8454 Å
α = 90.00°, β = 90.00°, γ = 90.00°
Positions (direct):
Th 0.5000 0.5000 0.5000
Th 0.0000 0.0000 0.5000
Mg 0.5000 0.5000 0.0000
Mg 0.0000 0.0000 0.0000
Sc 0.5000 0.0000 0.7972
Sc 0.0000 0.5000 0.2028

Values from the calculation:
The calculated volume comes out at 31.1 A^3/atom. Its space group is P4/nmm.



Which structure is the least stable? The one labeled y.



w | The following is a GGA-PBE calculation of an optimized crystal structure of TmThMgSc, from the Alexandria database.

a = 5.3875 Å, b = 5.3875 Å, c = 5.3875 Å
α = 60.00°, β = 60.00°, γ = 60.00°
Positions (direct):
Sc 0.5000 0.5000 0.5000
Mg 0.0000 0.0000 0.0000
Tm 0.7500 0.7500 0.7500
Th 0.2500 0.2500 0.2500

Values from the calculation:
The calculated volume comes out at 27.6 A^3/atom. Its space group is F-43m.



x | The following is a GGA-PBE calculation of an optimized crystal structure of TmThMgSc, from the Alexandria database.

a = 3.4044 Å, b = 3.4044 Å, c = 10.5903 Å
α = 99.25°, β = 99.25°, γ = 90.00°
Positions (direct):
Tm 0.5633 0.5633 0.1265
Th 0.9415 0.9415 0.8830
Mg 0.1771 0.1771 0.3542
Sc 0.3302 0.3302 0.6604

Values from the calculation:
The calculated volume comes out at 29.9 A^3/atom. Its space group is I4mm.



Which structure is the least stable? The one labeled x.